VASP calculation (PBE-GGA) on a geometry-optimized SmErScTl structure.

- ΔE to the lowest computed polymorph (meV/atom) = 114
- density of states at the Fermi level (states/eV/atom) = 1.29
- calculated total energy (eV/atom) = -4.553
- formation enthalpy at 0 K (eV per formula unit) = -0.2
- ρ (kg/m³) = 8509
- M_tot (Bohr magnetons per cell) = 1.31

Unit cell a=5.389 b=5.389 c=5.389 alpha=60.00 beta=60.00 gamma=60.00
Positions (direct):
Sm  0.000  0.000  0.000
Er  0.500  0.500  0.500
Sc  0.750  0.750  0.750
Tl  0.250  0.250  0.250